Density functional theory data (GGA+U) for an optimized crystal structure of CrRhCl2O.

a b c (Å): 4.564 5.388 4.564
angles (deg): 90.00 90.00 90.00
Atoms (fractional coordinates):
Cr: 0.000 0.000 0.000
Rh: 0.000 0.500 0.000
Cl: 0.000 0.000 0.500
Cl: 0.500 0.000 0.000
O: 0.500 0.500 0.500

The value obtained for the mass density is 3.6 g cm⁻³. As for the density of states at the Fermi level: 5.9 states/eV/cell. The symmetry is P4/mmm (123). The calculation puts the magnetic moment at 1.0 μB per formula unit. As for the total DFT energy (no corrections): -4.07 eV/atom.